[1]
The following is a PBE calculation of a geometry-optimized SnGeTe3Au structure, from Alexandria via LeMat-Bulk.

Computed properties:
Raw formation energy in meV per atom: -104.8

abc: 4.378 8.512 9.566
angles: 99.91 90.00 90.00
Sites, in units of the cell vectors:
Sn: 0.250 0.162 0.188
Sn: 0.750 0.838 0.812
Ge: 0.250 0.653 0.138
Ge: 0.750 0.347 0.862
Te: 0.750 0.884 0.130
Te: 0.250 0.116 0.870
Te: 0.250 0.717 0.452
Te: 0.750 0.283 0.548
Te: 0.750 0.423 0.179
Te: 0.250 0.577 0.821
Au: 0.250 0.099 0.509
Au: 0.750 0.901 0.491



[2]
The following is a PBE calculation of a geometry-optimized ZnIr3N structure, from Alexandria via LeMat-Bulk.

Computed properties:
Excess energy over the best structure of this formula in the dataset in eV per formula unit: 0.00
Raw formation energy in meV per atom: 488.6

abc: 4.082 4.082 4.082
angles: 90.00 90.00 90.00
Sites, in units of the cell vectors:
Zn: 0.500 0.500 0.500
Ir: 0.000 0.500 0.000
Ir: 0.000 0.000 0.500
Ir: 0.500 0.000 0.000
N: 0.000 0.000 0.000



[3]
The following is a PBE calculation of a geometry-optimized Hg2IrOs structure, from Alexandria via LeMat-Bulk.

Computed properties:
Energy of formation from the pure elements in meV/atom: 922
Excess energy over the best structure of this formula in the dataset in eV per formula unit: 2.00

abc: 4.944 4.944 4.944
angles: 129.74 129.74 73.82
Sites, in units of the cell vectors:
Hg: 0.000 0.000 0.000
Hg: 0.250 0.750 0.500
Ir: 0.500 0.500 0.000
Os: 0.750 0.250 0.500



[4]
The following is a PBE calculation of a geometry-optimized Sc2Br structure, from Alexandria via LeMat-Bulk.

Computed properties:
Excess energy over the best structure of this formula in the dataset in eV per formula unit: 0.01
Raw formation energy in meV per atom: -662.6

abc: 3.495 3.495 6.651
angles: 90.00 90.00 120.00
Sites, in units of the cell vectors:
Br: 0.000 0.000 0.000
Sc: 0.667 0.333 0.676
Sc: 0.333 0.667 0.324



[5]
The following is a PBE calculation of a geometry-optimized Th2TlAgOs structure, from Alexandria via LeMat-Bulk.

Computed properties:
Energy of formation from the pure elements in meV/atom: -191

abc: 4.064 8.281 8.336
angles: 110.52 90.00 90.00
Sites, in units of the cell vectors:
Th: 0.750 0.889 0.653
Th: 0.750 0.722 0.001
Th: 0.250 0.111 0.347
Th: 0.250 0.278 0.999
Tl: 0.250 0.688 0.311
Tl: 0.750 0.312 0.689
Ag: 0.250 0.552 0.638
Ag: 0.750 0.448 0.362
Os: 0.250 0.886 0.885
Os: 0.750 0.114 0.115



[6]
The following is a PBE calculation of a geometry-optimized Fe2Co structure, from Alexandria via LeMat-Bulk.

Computed properties:
Energy of formation from the pure elements in meV/atom: 15

abc: 2.459 2.459 12.063
angles: 90.00 90.00 109.61
Site moments in Bohr magnetons follow the coordinates.
Sites, in units of the cell vectors:
Co: 0.000 0.000 0.999  1.82
Co: 0.500 0.500 0.834  1.82
Fe: 0.000 0.000 0.669  2.55
Fe: 0.500 0.500 0.501  2.35
Fe: 0.000 0.000 0.333  2.35
Fe: 0.500 0.500 0.164  2.55



For reference, theoretical density by record: 7.29 16.02 18.67 4.01 12.22 8.25 g/cm3.